# CoS2O, optimized geometry, DFT PBE with a Hubbard U
data_CoS2O
_chemical_formula_sum 'Co4 S8 O4'
_symmetry_space_group_name_H-M 'I -4 2 d'
_symmetry_Int_Tables_number 122
_symmetry_space_group_name_Hall 'I -4 2bw'
_cell_length_a 4.946
_cell_length_b 4.946
_cell_length_c 9.801
_cell_angle_alpha 90.00
_cell_angle_beta 90.00
_cell_angle_gamma 90.00
loop_
_atom_site_label
_atom_site_type_symbol
_atom_site_fract_x
_atom_site_fract_y
_atom_site_fract_z
Co1 Co 0.000 0.000 0.000
S1 S 0.223 0.250 0.125
O1 O 0.000 0.000 0.500
# V (Å³/atom): 14.98
# Total magnetization (μB/f.u.): 0.0
# E_tot (eV/atom): -4.165